Below is a relaxed structure of VCrCu2O4, with properties calculated at the PBE with a Hubbard U level.

Geometry as CIF:
```
data_VCrCu2O4
_chemical_formula_sum 'V2 Cr2 Cu4 O8'
_symmetry_space_group_name_H-M 'C 1 2/m 1'
_symmetry_Int_Tables_number 12
_cell_length_a 11.591
_cell_length_b 3.058
_cell_length_c 5.375
_cell_angle_alpha 90.00
_cell_angle_beta 99.70
_cell_angle_gamma 90.00
loop_
_symmetry_equiv_pos_as_xyz
'x,y,z'
'-x,-y,-z'
'-x,y,-z'
'x,-y,z'
'x+1/2,y+1/2,z'
'-x+1/2,-y+1/2,-z'
'-x+1/2,y+1/2,-z'
'x+1/2,-y+1/2,z'
loop_
_atom_site_label
_atom_site_type_symbol
_atom_site_fract_x
_atom_site_fract_y
_atom_site_fract_z
_atom_site_occupancy
V1 V 0.000 0.000 0.000 1
Cr1 Cr 0.000 0.500 0.500 1
Cu1 Cu 0.250 0.000 0.747 1
O1 O 0.087 0.500 0.202 1
O2 O 0.089 0.000 0.693 1
```

Values from the calculation:
* size of the total moment: 9.97 μB per cell
* E_tot: -6.8346 eV/atom
* ρ: 5.20 Mg/m³